# 1
# Ba2SrTc | Alexandria via LeMat-Bulk | PBE | relaxed
data_Ba2SrTc
_space_group_name_H-M_alt 'I m m m'
_space_group_IT_number 71
_space_group_name_Hall '-I 2 2'
_cell_length_a 3.717
_cell_length_b 5.692
_cell_length_c 16.170
_cell_angle_alpha 90.00
_cell_angle_beta 90.00
_cell_angle_gamma 90.00
loop_
_atom_site_label
_atom_site_fract_x
_atom_site_fract_y
_atom_site_fract_z
Ba1 0.000 0.000 0.158
Sr1 0.000 0.500 0.000
Tc1 0.000 0.500 0.500
# calculated formation energy: 0.658 eV/atom
# offset from the most stable computed form: 0 meV/atom

***

# 2
# BaSrTc3 | Alexandria via LeMat-Bulk | PBE | relaxed
data_BaSrTc3
_space_group_name_H-M_alt 'P m -3 m'
_space_group_IT_number 221
_space_group_name_Hall '-P 4 2 3'
_cell_length_a 5.214
_cell_length_b 5.214
_cell_length_c 5.214
_cell_angle_alpha 90.00
_cell_angle_beta 90.00
_cell_angle_gamma 90.00
loop_
_atom_site_label
_atom_site_fract_x
_atom_site_fract_y
_atom_site_fract_z
Ba1 0.000 0.000 0.000
Sr1 0.500 0.500 0.500
Tc1 0.000 0.500 0.500
# calculated formation energy: 2.331 eV/atom
# offset from the most stable computed form: 37 meV/atom

***

# 3
# Ba2SrTc | Alexandria via LeMat-Bulk | PBE | relaxed
data_Ba2SrTc
_space_group_name_H-M_alt 'P 1 2/m 1'
_space_group_IT_number 10
_cell_length_a 3.879
_cell_length_b 3.880
_cell_length_c 10.726
_cell_angle_alpha 90.00
_cell_angle_beta 90.05
_cell_angle_gamma 90.00
loop_
_space_group_symop_operation_xyz
'x,y,z'
'-x,-y,-z'
'-x,y,-z'
'x,-y,z'
loop_
_atom_site_label
_atom_site_fract_x
_atom_site_fract_y
_atom_site_fract_z
Ba1 0.000 0.000 0.178
Sr1 0.500 0.500 0.500
Tc1 0.500 0.500 0.000
# calculated formation energy: 0.664 eV/atom
# offset from the most stable computed form: 6 meV/atom

***

# 4
# BaSr2Tc | Alexandria via LeMat-Bulk | PBE | relaxed
data_BaSr2Tc
_space_group_name_H-M_alt 'F -4 3 m'
_space_group_IT_number 216
_space_group_name_Hall 'F -4 2 3'
_cell_length_a 8.301
_cell_length_b 8.301
_cell_length_c 8.301
_cell_angle_alpha 90.00
_cell_angle_beta 90.00
_cell_angle_gamma 90.00
loop_
_atom_site_label
_atom_site_fract_x
_atom_site_fract_y
_atom_site_fract_z
Ba1 0.000 0.000 0.000
Sr1 0.000 0.000 0.500
Sr2 0.250 0.250 0.750
Tc1 0.250 0.250 0.250
# calculated formation energy: 0.810 eV/atom
# offset from the most stable computed form: 174 meV/atom

***

# 5
# Ba2SrTc | Alexandria via LeMat-Bulk | PBE | relaxed
data_Ba2SrTc
_space_group_name_H-M_alt 'I -4 2 d'
_space_group_IT_number 122
_space_group_name_Hall 'I -4 2bw'
_cell_length_a 10.404
_cell_length_b 10.404
_cell_length_c 6.475
_cell_angle_alpha 90.00
_cell_angle_beta 90.00
_cell_angle_gamma 90.00
loop_
_atom_site_label
_atom_site_fract_x
_atom_site_fract_y
_atom_site_fract_z
Ba1 0.111 0.250 0.125
Sr1 0.000 0.000 0.500
Tc1 0.000 0.000 0.000
# calculated formation energy: 0.766 eV/atom
# offset from the most stable computed form: 108 meV/atom

***

# 6
# BaSrTc3 | Alexandria via LeMat-Bulk | PBE | relaxed
data_BaSrTc3
_space_group_name_H-M_alt 'P m -3 m'
_space_group_IT_number 221
_space_group_name_Hall '-P 4 2 3'
_cell_length_a 5.198
_cell_length_b 5.198
_cell_length_c 5.198
_cell_angle_alpha 90.00
_cell_angle_beta 90.00
_cell_angle_gamma 90.00
loop_
_atom_site_label
_atom_site_fract_x
_atom_site_fract_y
_atom_site_fract_z
Ba1 0.000 0.000 0.000
Sr1 0.500 0.500 0.500
Tc1 0.000 0.000 0.500
# calculated formation energy: 2.295 eV/atom
# offset from the most stable computed form: 0 meV/atom

***

# 7
# BaSr2Tc | Alexandria via LeMat-Bulk | PBE | relaxed
data_BaSr2Tc
_space_group_name_H-M_alt 'I m m 2'
_space_group_IT_number 44
_cell_length_a 3.678
_cell_length_b 5.736
_cell_length_c 15.430
_cell_angle_alpha 90.00
_cell_angle_beta 90.00
_cell_angle_gamma 90.00
loop_
_space_group_symop_operation_xyz
'x,y,z'
'-x,-y,z'
'-x,y,z'
'x,-y,z'
'x+1/2,y+1/2,z+1/2'
'-x+1/2,-y+1/2,z+1/2'
'-x+1/2,y+1/2,z+1/2'
'x+1/2,-y+1/2,z+1/2'
loop_
_atom_site_label
_atom_site_fract_x
_atom_site_fract_y
_atom_site_fract_z
Ba1 0.000 0.000 0.000
Sr1 0.000 0.000 0.673
Sr2 0.000 0.500 0.835
Tc1 0.000 0.500 0.337
# calculated formation energy: 0.658 eV/atom
# offset from the most stable computed form: 22 meV/atom

***

# 8
# BaSr2Tc | Alexandria via LeMat-Bulk | PBE | relaxed
data_BaSr2Tc
_space_group_name_H-M_alt 'I 41/a m d'
_space_group_IT_number 141
_cell_length_a 8.349
_cell_length_b 8.349
_cell_length_c 11.938
_cell_angle_alpha 90.00
_cell_angle_beta 90.00
_cell_angle_gamma 90.00
loop_
_space_group_symop_operation_xyz
'x,y,z'
'-x,-y,-z'
'-y+1/4,x+3/4,z+1/4'
'y+1/4,-x+3/4,-z+1/4'
'-x+1/2,-y,z+1/2'
'x+1/2,y,-z+1/2'
'y+1/4,-x+1/4,z+3/4'
'-y+1/4,x+1/4,-z+3/4'
'x,-y,-z'
'-x,y,z'
'-y+1/4,-x+1/4,-z+3/4'
'y+1/4,x+1/4,z+3/4'
'-x+1/2,y,-z+1/2'
'x+1/2,-y,z+1/2'
'y+1/4,x+3/4,-z+1/4'
'-y+1/4,-x+3/4,z+1/4'
'x+1/2,y+1/2,z+1/2'
'-x+1/2,-y+1/2,-z+1/2'
'-y+3/4,x+1/4,z+3/4'
'y+3/4,-x+1/4,-z+3/4'
'-x,-y+1/2,z'
'x,y+1/2,-z'
'y+3/4,-x+3/4,z+1/4'
'-y+3/4,x+3/4,-z+1/4'
'x+1/2,-y+1/2,-z+1/2'
'-x+1/2,y+1/2,z+1/2'
'-y+3/4,-x+3/4,-z+1/4'
'y+3/4,x+3/4,z+1/4'
'-x,y+1/2,-z'
'x,-y+1/2,z'
'y+3/4,x+1/4,-z+3/4'
'-y+3/4,-x+1/4,z+3/4'
loop_
_atom_site_label
_atom_site_fract_x
_atom_site_fract_y
_atom_site_fract_z
Ba1 0.000 0.250 0.375
Sr1 0.000 0.000 0.000
Tc1 0.000 0.250 0.875
# calculated formation energy: 1.003 eV/atom
# offset from the most stable computed form: 368 meV/atom

***

# 9
# BaSr2Tc | Alexandria via LeMat-Bulk | PBE | relaxed
data_BaSr2Tc
_space_group_name_H-M_alt 'R -3 m'
_space_group_IT_number 166
_space_group_name_Hall '-R 3 2"'
_cell_length_a 3.9761
_cell_length_b 3.9761
_cell_length_c 35.4198
_cell_angle_alpha 90.00
_cell_angle_beta 90.00
_cell_angle_gamma 120.00
loop_
_atom_site_label
_atom_site_fract_x
_atom_site_fract_y
_atom_site_fract_z
Ba1 0.0000 0.0000 0.0000
Sr1 0.0000 0.0000 0.2268
Tc1 0.0000 0.0000 0.5000
# calculated formation energy: 0.779 eV/atom
# offset from the most stable computed form: 144 meV/atom

***

# 10
# Ba3SrTc | Alexandria via LeMat-Bulk | PBE | relaxed
data_Ba3SrTc
_space_group_name_H-M_alt 'P m -3 m'
_space_group_IT_number 221
_space_group_name_Hall '-P 4 2 3'
_cell_length_a 6.178
_cell_length_b 6.178
_cell_length_c 6.178
_cell_angle_alpha 90.00
_cell_angle_beta 90.00
_cell_angle_gamma 90.00
loop_
_atom_site_label
_atom_site_fract_x
_atom_site_fract_y
_atom_site_fract_z
Ba1 0.000 0.000 0.500
Sr1 0.500 0.500 0.500
Tc1 0.000 0.000 0.000
# calculated formation energy: 0.459 eV/atom
# offset from the most stable computed form: 0 meV/atom

***

# 11
# BaSr2Tc | Alexandria via LeMat-Bulk | PBE | relaxed
data_BaSr2Tc
_space_group_name_H-M_alt 'P 4 m m'
_space_group_IT_number 99
_cell_length_a 3.825
_cell_length_b 3.825
_cell_length_c 10.716
_cell_angle_alpha 90.00
_cell_angle_beta 90.00
_cell_angle_gamma 90.00
loop_
_space_group_symop_operation_xyz
'x,y,z'
'-y,x,z'
'-x,-y,z'
'y,-x,z'
'-x,y,z'
'y,x,z'
'x,-y,z'
'-y,-x,z'
loop_
_atom_site_label
_atom_site_fract_x
_atom_site_fract_y
_atom_site_fract_z
Ba1 0.000 0.000 0.000
Sr1 0.000 0.000 0.648
Sr2 0.500 0.500 0.333
Tc1 0.500 0.500 0.818
# calculated formation energy: 0.647 eV/atom
# offset from the most stable computed form: 12 meV/atom

***

# 12
# BaSr2Tc | Alexandria via LeMat-Bulk | PBE | relaxed
data_BaSr2Tc
_space_group_name_H-M_alt 'P 4/m m m'
_space_group_IT_number 123
_space_group_name_Hall '-P 4 2'
_cell_length_a 3.794
_cell_length_b 3.794
_cell_length_c 10.975
_cell_angle_alpha 90.00
_cell_angle_beta 90.00
_cell_angle_gamma 90.00
loop_
_atom_site_label
_atom_site_fract_x
_atom_site_fract_y
_atom_site_fract_z
Ba1 0.000 0.000 0.000
Sr1 0.500 0.500 0.329
Tc1 0.000 0.000 0.500
# calculated formation energy: 0.636 eV/atom
# offset from the most stable computed form: 0 meV/atom